Record 1
This record from the Alexandria database describes an optimized crystal structure of CsCo2RuCl8. The functional is PBE.

Its uncorrected formation energy is -0.70 eV/atom.

The space group is R32 (No. 155, hexagonal axes) and the conventional cell measures 6.9944, 6.9944 and 27.8117 Å, with angles of 90.00, 90.00 and 120.00 degrees. The distinct sites, in fractional coordinates, are Cs at (0.0000, 0.0000, 0.0000), Co at (0.0000, 0.0000, 0.2332), Ru at (0.0000, 0.0000, 0.5000), Cl at (0.0000, 0.0000, 0.3128) and Cl at (0.0289, 0.5160, 0.1124).



Record 2
This record from the Alexandria database describes an optimized crystal structure of Cs2LaPu3O12. The functional is PBE.

Its uncorrected formation energy is -2.57 eV/atom.

The space group is R-3m (No. 166, hexagonal axes) and the conventional cell measures 8.0608, 8.0608 and 18.9268 Å, with angles of 90.00, 90.00 and 120.00 degrees. The distinct sites, in fractional coordinates, are Cs at (0.0000, 0.0000, 0.1192), La at (0.0000, 0.0000, 0.5000), Pu at (0.0000, 0.5000, 0.0000), O at (0.0351, 0.5176, 0.1016) and O at (0.0835, 0.5418, 0.3425).



Record 3
This record from the Alexandria database describes an optimized crystal structure of Li3Zn5Pd3. The functional is PBE.

The formation energy is -0.11 eV per atom.

The space group is P-62m (No. 189) and the conventional cell measures 8.5850, 8.5850 and 2.7349 Å, with angles of 90.00, 90.00 and 120.00 degrees. The distinct sites, in fractional coordinates, are Li at (0.0000, 0.1786, 0.0000), Zn at (0.0000, 0.6716, 0.0000), Zn at (0.3333, 0.6667, 0.0000) and Pd at (0.0000, 0.4245, 0.5000).



| no. | energy (eV per atom) |
| --- | --- |
| 1 | -3.9591 |
| 2 | -8.6323 |
| 3 | -2.6260 |